No. 1
Here is a geometry-optimized K2RbZrCl6 structure from the Alexandria database. Energies are from PBE-GGA.

Summary:
SG: R-3m (166)
N(E_F): 0.55 states/eV per atom
Energy relative to the elements, uncorrected: -1.8169 eV/atom

Cell lengths 7.4182, 7.4182, 16.4424 Å; angles 76.96, 76.96, 60.00 degrees
Last column: magnetic moment on the atom in μB.
Fractional coordinates of all 20 atoms:
Cl  0.1938  0.1938  0.9064  0.00
K  0.1494  0.1494  0.5519  0.00
K  0.6843  0.6843  0.9472  0.00
Rb  0.4156  0.4156  0.7531  0.00
Cl  0.8062  0.8062  0.0936  0.00
Zr  0.5000  0.5000  0.5000  0.69
Rb  0.5844  0.5844  0.2469  0.00
Cl  0.6325  0.6325  0.5931  0.00
Cl  0.8581  0.3675  0.4069  0.00
Cl  0.3675  0.8581  0.4069  0.00
Cl  0.2941  0.8062  0.0936  0.00
K  0.8506  0.8506  0.4481  0.00
Zr  0.0000  0.0000  0.0000  0.70
Cl  0.6325  0.1419  0.5931  0.00
Cl  0.7059  0.1938  0.9064  0.00
Cl  0.3675  0.3675  0.4069  0.00
Cl  0.1419  0.6325  0.5931  0.00
Cl  0.1938  0.7059  0.9064  0.00
K  0.3157  0.3157  0.0528  0.00
Cl  0.8062  0.2941  0.0936  0.00

=====

No. 2
Here is a geometry-optimized K2ReCl structure from the Alexandria database. Energies are from PBE-GGA.

Summary:
SG: P4/mmm (123)
N(E_F): 0.55 states/eV per atom
Energy above the lowest structure with this stoichiometry: 0.0000 eV/atom
Energy relative to the elements, uncorrected: 0.3491 eV/atom

Cell lengths 3.0416, 3.0478, 10.4431 Å; angles 73.05, 90.00, 90.00 degrees
Fractional coordinates of all 4 atoms:
K  0.0000  0.4612  0.5383
K  0.0000  0.0388  0.9617
Cl  0.5000  0.7500  0.7500
Re  0.5000  0.2500  0.2500

=====

No. 3
Here is a geometry-optimized KRe2Cl structure from the Alexandria database. Energies are from PBE-GGA.

Summary:
SG: Cmmm (65)
N(E_F): 0.97 states/eV per atom
Energy above the lowest structure with this stoichiometry: 1.2288 eV/atom
Energy relative to the elements, uncorrected: 1.3623 eV/atom

Cell lengths 2.8132, 2.8132, 10.5174 Å; angles 90.00, 90.00, 118.78 degrees
Fractional coordinates of all 4 atoms:
Re  0.0000  0.0000  0.0371
Cl  0.5000  0.5000  0.2500
Re  0.0000  0.0000  0.4629
K  0.5000  0.5000  0.7500

=====

No. 4
Here is a geometry-optimized KRe2Cl8 structure from the Alexandria database. Energies are from PBE-GGA.

Summary:
SG: C2/m (12)
N(E_F): 1.17 states/eV per atom
Energy relative to the elements, uncorrected: -0.4856 eV/atom

Cell lengths 6.6544, 8.0605, 8.0605 Å; angles 82.26, 87.37, 87.37 degrees
Last column: magnetic moment on the atom in μB.
Fractional coordinates of all 11 atoms:
Cl  0.2523  0.7637  0.7637  0.02
Cl  0.2630  0.4108  0.4108  0.02
Cl  0.6956  0.6940  0.0238  0.02
Cl  0.7477  0.2363  0.2363  0.02
Cl  0.3044  0.9762  0.3060  0.02
Cl  0.6956  0.0238  0.6940  0.02
Cl  0.3044  0.3060  0.9762  0.02
K  0.0000  0.0000  0.0000  0.00
Cl  0.7370  0.5892  0.5892  0.02
Re  0.5910  0.7590  0.7590  0.39
Re  0.4090  0.2410  0.2410  0.39

=====

No. 5
Here is a geometry-optimized KRe3Cl structure from the Alexandria database. Energies are from PBE-GGA.

Summary:
SG: Pm-3m (221)
N(E_F): 0.88 states/eV per atom
Energy above the lowest structure with this stoichiometry: 0.0000 eV/atom
Energy relative to the elements, uncorrected: 2.1876 eV/atom

Cell lengths 4.5240, 4.5240, 4.5240 Å; angles 90.00, 90.00, 90.00 degrees
Last column: magnetic moment on the atom in μB.
Fractional coordinates of all 5 atoms:
Re  0.0000  0.0000  0.5000  0.60
Re  0.5000  0.0000  0.0000  0.43
Cl  0.0000  0.0000  0.0000  0.00
K  0.5000  0.5000  0.5000  0.01
Re  0.0000  0.5000  0.0000  0.55

=====

No. 6
Here is a geometry-optimized KRe3Cl structure from the Alexandria database. Energies are from PBE-GGA.

Summary:
SG: Pm-3m (221)
N(E_F): 1.74 states/eV per atom
Energy above the lowest structure with this stoichiometry: 2.1404 eV/atom
Energy relative to the elements, uncorrected: 4.3280 eV/atom

Cell lengths 4.7401, 4.7401, 4.7401 Å; angles 90.00, 90.00, 90.00 degrees
Last column: magnetic moment on the atom in μB.
Fractional coordinates of all 5 atoms:
Re  0.0000  0.5000  0.0000  1.23
Re  0.0000  0.0000  0.5000  1.00
Re  0.5000  0.0000  0.0000  1.24
K  0.0000  0.0000  0.0000  0.04
Cl  0.5000  0.5000  0.5000  0.18

=====

No. 7
Here is a geometry-optimized KReCl3 structure from the Alexandria database. Energies are from PBE-GGA.

Summary:
SG: Pm-3m (221)
N(E_F): 1.24 states/eV per atom
Energy above the lowest structure with this stoichiometry: 1.7262 eV/atom
Energy relative to the elements, uncorrected: 0.7149 eV/atom

Cell lengths 5.5892, 5.5892, 5.5892 Å; angles 90.00, 90.00, 90.00 degrees
Last column: magnetic moment on the atom in μB.
Fractional coordinates of all 5 atoms:
K  0.0000  0.0000  0.0000  -0.01
Cl  0.0000  0.0000  0.5000  -0.14
Re  0.5000  0.5000  0.5000  4.40
Cl  0.0000  0.5000  0.0000  -0.10
Cl  0.5000  0.0000  0.0000  -0.04

=====

No. 8
Here is a geometry-optimized K2ReCl structure from the Alexandria database. Energies are from PBE-GGA.

Summary:
SG: Pmm2 (25)
N(E_F): 0.96 states/eV per atom
Energy above the lowest structure with this stoichiometry: 0.2990 eV/atom
Energy relative to the elements, uncorrected: 0.6481 eV/atom

Cell lengths 3.8799, 3.8697, 10.0783 Å; angles 90.00, 90.00, 90.00 degrees
Last column: magnetic moment on the atom in μB.
Fractional coordinates of all 4 atoms:
Re  0.0000  0.0000  0.4754  3.32
K  0.0000  0.0000  0.8231  0.01
K  0.5000  0.5000  0.2511  0.00
Cl  0.5000  0.5000  0.9504  0.00

=====

No. 9
Here is a geometry-optimized K2ReCl7 structure from the Alexandria database. Energies are from PBE-GGA.

Summary:
SG: C2/c (15)
Energy relative to the elements, uncorrected: -1.0484 eV/atom

Cell lengths 7.6809, 10.0701, 9.3124 Å; angles 86.35, 65.64, 67.58 degrees
Last column: magnetic moment on the atom in μB.
Fractional coordinates of all 20 atoms:
Cl  0.1925  0.4998  0.1687  0.09
Cl  0.3474  0.7500  0.2500  0.00
Cl  0.9794  0.3017  0.4879  0.01
K  0.7500  0.4646  0.2025  0.00
Cl  0.6890  0.7370  0.4192  -0.01
Cl  0.0206  0.6983  0.5121  0.01
K  0.4171  0.0354  0.2975  0.00
Cl  0.8452  0.7630  0.0808  -0.01
Cl  0.1548  0.2370  0.9192  -0.01
Cl  0.8075  0.5002  0.8313  0.09
Cl  0.1390  0.9998  0.6687  0.09
Cl  0.8610  0.0002  0.3313  0.09
K  0.2500  0.5354  0.7975  0.00
Cl  0.2310  0.8017  0.9879  0.01
Re  0.0304  0.7500  0.2500  1.51
Re  0.9696  0.2500  0.7500  1.51
Cl  0.3110  0.2630  0.5808  -0.01
Cl  0.6526  0.2500  0.7500  0.00
K  0.5829  0.9646  0.7025  0.00
Cl  0.7690  0.1983  0.0121  0.01

=====

No. 10
Here is a geometry-optimized KRe2Cl structure from the Alexandria database. Energies are from PBE-GGA.

Summary:
SG: I4/mmm (139)
N(E_F): 0.71 states/eV per atom
Energy above the lowest structure with this stoichiometry: 0.8100 eV/atom
Energy relative to the elements, uncorrected: 0.9435 eV/atom

Cell lengths 8.2993, 8.2993, 8.2993 Å; angles 154.37, 154.37, 36.56 degrees
Last column: magnetic moment on the atom in μB.
Fractional coordinates of all 4 atoms:
Cl  0.2500  0.7500  0.5000  0.02
Re  0.0000  0.0000  0.0000  0.44
K  0.7500  0.2500  0.5000  0.00
Re  0.5000  0.5000  0.0000  0.44

=====

No. 11
Here is a geometry-optimized KRe2Cl structure from the Alexandria database. Energies are from PBE-GGA.

Summary:
SG: P4/mmm (123)
N(E_F): 1.06 states/eV per atom
Energy above the lowest structure with this stoichiometry: 1.4741 eV/atom
Energy relative to the elements, uncorrected: 1.6076 eV/atom

Cell lengths 2.7194, 2.7194, 10.1199 Å; angles 90.00, 90.00, 90.00 degrees
Fractional coordinates of all 4 atoms:
K  0.5000  0.5000  0.7500
Cl  0.5000  0.5000  0.2500
Re  0.0000  0.0000  0.0406
Re  0.0000  0.0000  0.4594

=====

No. 12
Here is a geometry-optimized K2ReCl structure from the Alexandria database. Energies are from PBE-GGA.

Summary:
SG: Immm (71)
N(E_F): 1.22 states/eV per atom
Energy above the lowest structure with this stoichiometry: 0.4181 eV/atom
Energy relative to the elements, uncorrected: 0.7672 eV/atom

Cell lengths 6.1696, 6.1696, 6.1696 Å; angles 134.30, 113.85, 84.10 degrees
Last column: magnetic moment on the atom in μB.
Fractional coordinates of all 4 atoms:
Cl  0.2500  0.7500  0.5000  0.01
K  0.0369  0.0369  0.0000  0.00
K  0.4631  0.4631  0.0000  0.00
Re  0.7500  0.2500  0.5000  3.24

=====

No. 13
Here is a geometry-optimized KRe2Cl structure from the Alexandria database. Energies are from PBE-GGA.

Summary:
SG: R-3m (166)
N(E_F): 0.97 states/eV per atom
Energy above the lowest structure with this stoichiometry: 1.1892 eV/atom
Energy relative to the elements, uncorrected: 1.3227 eV/atom

Cell lengths 10.3583, 10.3583, 10.3583 Å; angles 15.86, 15.86, 15.86 degrees
Fractional coordinates of all 4 atoms:
Re  0.9847  0.9847  0.9847
Cl  0.2500  0.2500  0.2500
K  0.7500  0.7500  0.7500
Re  0.5153  0.5153  0.5153

=====

No. 14
Here is a geometry-optimized K2ReCl8 structure from the Alexandria database. Energies are from PBE-GGA.

Summary:
SG: C2/m (12)
N(E_F): 0.56 states/eV per atom
Energy relative to the elements, uncorrected: -0.9816 eV/atom

Cell lengths 6.1540, 7.8127, 7.8127 Å; angles 79.82, 88.72, 88.72 degrees
Last column: magnetic moment on the atom in μB.
Fractional coordinates of all 11 atoms:
Cl  0.6781  0.1046  0.1046  0.03
Cl  0.7401  0.6310  0.6310  -0.08
Cl  0.1384  0.2756  0.9556  0.01
Re  0.0000  0.0000  0.0000  0.82
K  0.2398  0.6245  0.6245  0.00
Cl  0.3219  0.8954  0.8954  0.03
Cl  0.1384  0.9556  0.2756  0.01
Cl  0.8616  0.0444  0.7244  0.01
Cl  0.8616  0.7244  0.0444  0.01
K  0.7602  0.3755  0.3755  0.00
Cl  0.2599  0.3690  0.3690  -0.08

=====

No. 15
Here is a geometry-optimized K2ReCl structure from the Alexandria database. Energies are from PBE-GGA.

Summary:
SG: Cm (8)
N(E_F): 0.60 states/eV per atom
Energy above the lowest structure with this stoichiometry: 0.3156 eV/atom
Energy relative to the elements, uncorrected: 0.6647 eV/atom

Cell lengths 6.8104, 6.8104, 5.8631 Å; angles 86.12, 86.12, 28.23 degrees
Last column: magnetic moment on the atom in μB.
Fractional coordinates of all 4 atoms:
Re  0.4974  0.4974  0.3861  2.97
K  0.0300  0.0300  0.8809  0.01
K  0.2428  0.2428  0.3552  0.01
Cl  0.7299  0.7299  0.8778  0.01

=====

No. 16
Here is a geometry-optimized K2ReCl structure from the Alexandria database. Energies are from PBE-GGA.

Summary:
SG: F-43m (216)
N(E_F): 1.66 states/eV per atom
Energy above the lowest structure with this stoichiometry: 0.6306 eV/atom
Energy relative to the elements, uncorrected: 0.9797 eV/atom

Cell lengths 5.7220, 5.7220, 5.7220 Å; angles 60.00, 60.00, 60.00 degrees
Last column: magnetic moment on the atom in μB.
Fractional coordinates of all 4 atoms:
Cl  0.5000  0.5000  0.5000  0.04
K  0.2500  0.2500  0.2500  -0.01
Re  0.7500  0.7500  0.7500  3.25
K  0.0000  0.0000  0.0000  0.01

=====

No. 17
Here is a geometry-optimized K2ReCl structure from the Alexandria database. Energies are from PBE-GGA.

Summary:
SG: C2/m (12)
N(E_F): 0.83 states/eV per atom
Energy above the lowest structure with this stoichiometry: 0.2404 eV/atom
Energy relative to the elements, uncorrected: 0.5895 eV/atom

Cell lengths 4.1094, 4.1094, 9.5512 Å; angles 78.62, 78.62, 57.76 degrees
Last column: magnetic moment on the atom in μB.
Fractional coordinates of all 4 atoms:
K  0.5124  0.5124  0.4656  0.01
Cl  0.2500  0.2500  0.2500  0.00
Re  0.7500  0.7500  0.7500  3.21
K  0.9876  0.9876  0.0344  0.01

=====

No. 18
Here is a geometry-optimized K2ReCl structure from the Alexandria database. Energies are from PBE-GGA.

Summary:
SG: Cmm2 (35)
N(E_F): 0.42 states/eV per atom
Energy above the lowest structure with this stoichiometry: 0.1871 eV/atom
Energy relative to the elements, uncorrected: 0.5362 eV/atom

Cell lengths 3.0503, 3.0504, 10.8366 Å; angles 90.00, 90.00, 89.79 degrees
Fractional coordinates of all 4 atoms:
Re  0.0000  0.0000  0.4899
K  0.0000  0.0000  0.7975
Cl  0.5000  0.5000  0.9755
K  0.5000  0.5000  0.2371

=====

No. 19
Here is a geometry-optimized KRe2Cl structure from the Alexandria database. Energies are from PBE-GGA.

Summary:
SG: P4/mmm (123)
N(E_F): 0.91 states/eV per atom
Energy above the lowest structure with this stoichiometry: 0.8130 eV/atom
Energy relative to the elements, uncorrected: 0.9465 eV/atom

Cell lengths 7.7886, 3.6830, 3.6830 Å; angles 90.00, 90.00, 90.00 degrees
Last column: magnetic moment on the atom in μB.
Fractional coordinates of all 4 atoms:
K  0.5000  0.0000  0.5000  0.00
Re  0.0000  0.0000  0.0000  0.47
Re  0.0000  0.5000  0.5000  0.47
Cl  0.5000  0.5000  0.0000  0.02

=====

No. 20
Here is a geometry-optimized KRe2Cl structure from the Alexandria database. Energies are from PBE-GGA.

Summary:
SG: P3m1 (156)
Energy above the lowest structure with this stoichiometry: 0.0000 eV/atom
Energy relative to the elements, uncorrected: 0.1335 eV/atom

Cell lengths 3.6908, 3.6908, 8.6788 Å; angles 90.00, 90.00, 59.98 degrees
Fractional coordinates of all 4 atoms:
Re  0.6254  0.6254  0.7941
Re  0.9588  0.9588  0.9230
Cl  0.6244  0.6244  0.5146
K  0.2914  0.2914  0.2683